<A>
Entry from Alexandria via LeMat-Bulk: a relaxed Ca2WBr2 crystal (PBE).

- crystal system = tetragonal
- total moment (μB/cell) = 6.43

Cell lengths 8.7708, 8.7708, 3.4457 Å; angles 90.00, 90.00, 90.00 degrees
Each line ends with the local moment (μB).
Atoms (fractional coordinates):
W (0.0000, 0.0000, 0.0000)  2.12
W (0.5000, 0.5000, 0.0000)  2.12
Ca (0.1719, 0.3281, 0.0000)  0.01
Ca (0.6719, 0.1719, 0.0000)  0.02
Ca (0.3281, 0.8281, 0.0000)  0.02
Ca (0.8281, 0.6719, 0.0000)  0.01
Br (0.8692, 0.3692, 0.5000)  0.04
Br (0.3692, 0.1308, 0.5000)  0.04
Br (0.1308, 0.6308, 0.5000)  0.04
Br (0.6308, 0.8692, 0.5000)  0.04

---

<B>
Entry from Alexandria via LeMat-Bulk: a relaxed Ca2WBr2 crystal (PBE).

- crystal system = tetragonal
- total moment (μB/cell) = 4.69

Cell lengths 4.7598, 4.7598, 7.8524 Å; angles 72.36, 72.36, 90.00 degrees
Each line ends with the local moment (μB).
Atoms (fractional coordinates):
W (0.0000, 0.0000, 0.0000)  3.21
Br (0.2500, 0.7500, 0.5000)  0.02
Br (0.7500, 0.2500, 0.5000)  0.02
Ca (0.3739, 0.3739, 0.2522)  0.01
Ca (0.6261, 0.6261, 0.7478)  0.01

---

<C>
Entry from Alexandria via LeMat-Bulk: a relaxed Ca2WBr2 crystal (PBE).

- crystal system = tetragonal
- total moment (μB/cell) = 2.04

Cell lengths 5.8408, 5.8408, 5.8371 Å; angles 59.98, 59.98, 90.00 degrees
Each line ends with the local moment (μB).
Atoms (fractional coordinates):
Ca (0.2500, 0.7500, 0.5000)  -0.04
Ca (0.7500, 0.2500, 0.5000)  -0.04
Br (0.6935, 0.6935, 0.6130)  0.02
Br (0.3065, 0.3065, 0.3870)  0.02
W (0.0000, 0.0000, 0.0000)  1.81

---

Most stable of them? <B>.

---

<A>
Entry from Alexandria via LeMat-Bulk: a relaxed CaWBr crystal (PBE).

- crystal system = hexagonal
- total moment (μB/cell) = 0.00

Cell lengths 4.8501, 4.8501, 3.1250 Å; angles 90.00, 90.00, 120.00 degrees
Atoms (fractional coordinates):
Br (0.0000, 0.0000, 0.8334)
W (0.3333, 0.6667, 0.8336)
Ca (0.6667, 0.3333, 0.3332)

---

<B>
Entry from Alexandria via LeMat-Bulk: a relaxed CaWBr crystal (PBE).

- crystal system = cubic
- total moment (μB/cell) = 5.00

Cell lengths 5.2727, 5.2727, 5.2727 Å; angles 60.00, 60.00, 60.00 degrees
Each line ends with the local moment (μB).
Atoms (fractional coordinates):
Ca (0.7500, 0.7500, 0.7500)  0.13
W (0.0000, 0.0000, 0.0000)  3.37
Br (0.5000, 0.5000, 0.5000)  0.07

---

Most stable of them? <A>.

---

<A>
Entry from Alexandria via LeMat-Bulk: a relaxed Ca3WBr crystal (PBE).

- crystal system = cubic
- total moment (μB/cell) = 0.00

Cell lengths 5.5455, 5.5455, 5.5455 Å; angles 90.00, 90.00, 90.00 degrees
Atoms (fractional coordinates):
Ca (0.5000, 0.0000, 0.0000)
Ca (0.0000, 0.0000, 0.5000)
Ca (0.0000, 0.5000, 0.0000)
Br (0.5000, 0.5000, 0.5000)
W (0.0000, 0.0000, 0.0000)

---

<B>
Entry from Alexandria via LeMat-Bulk: a relaxed Ca3WBr crystal (PBE).

- crystal system = cubic
- total moment (μB/cell) = 4.17

Cell lengths 5.4900, 5.4900, 5.4900 Å; angles 90.00, 90.00, 90.00 degrees
Each line ends with the local moment (μB).
Atoms (fractional coordinates):
Ca (0.5000, 0.0000, 0.0000)  -0.01
Ca (0.0000, 0.0000, 0.5000)  0.01
Ca (0.0000, 0.5000, 0.0000)  0.00
Br (0.0000, 0.0000, 0.0000)  0.01
W (0.5000, 0.5000, 0.5000)  2.82

---

Most stable of them? <A>.

---

<A>
Entry from Alexandria via LeMat-Bulk: a relaxed CaYBr crystal (PBE).

- crystal system = trigonal
- total moment (μB/cell) = 0.00

Cell lengths 3.7865, 3.7865, 7.4046 Å; angles 90.00, 90.00, 120.00 degrees
Each line ends with the local moment (μB).
Atoms (fractional coordinates):
Br (0.0000, 0.0000, 0.9929)  0.00
Ca (0.6667, 0.3333, 0.3109)  0.04
Y (0.3333, 0.6667, 0.6962)  -0.07

---

<B>
Entry from Alexandria via LeMat-Bulk: a relaxed CaYBr crystal (PBE).

- crystal system = trigonal
- total moment (μB/cell) = 0.00

Cell lengths 5.2247, 5.2247, 4.1039 Å; angles 90.00, 90.00, 120.00 degrees
Atoms (fractional coordinates):
Br (0.0000, 0.0000, 0.8311)
Y (0.3333, 0.6667, 0.8341)
Ca (0.6667, 0.3333, 0.3347)

---

<C>
Entry from Alexandria via LeMat-Bulk: a relaxed CaYBr crystal (PBE).

- crystal system = orthorhombic
- total moment (μB/cell) = 0.00

Cell lengths 8.2328, 7.8723, 3.6796 Å; angles 82.33, 71.38, 26.29 degrees
Atoms (fractional coordinates):
Y (0.6557, 0.6557, 0.3443)
Ca (0.3435, 0.3435, 0.6565)
Br (0.0007, 0.0007, 0.9993)

---

<D>
Entry from Alexandria via LeMat-Bulk: a relaxed CaYBr crystal (PBE).

- crystal system = tetragonal
- total moment (μB/cell) = 0.00

Cell lengths 7.4898, 7.4898, 7.4898 Å; angles 152.25, 152.25, 39.65 degrees
Atoms (fractional coordinates):
Ca (0.3410, 0.3410, 0.0000)
Br (0.0051, 0.0051, 0.0000)
Y (0.6539, 0.6539, 0.0000)

---

Most stable of them? <A>.

---

<A>
Entry from Alexandria via LeMat-Bulk: a relaxed CaZn2Br crystal (PBE).

- crystal system = tetragonal
- total moment (μB/cell) = 0.00

Cell lengths 8.6839, 8.6839, 6.7567 Å; angles 50.01, 50.01, 90.00 degrees
Atoms (fractional coordinates):
Zn (0.3750, 0.3741, 0.7500)
Zn (0.8750, 0.8759, 0.7500)
Zn (0.1241, 0.6250, 0.2500)
Zn (0.6259, 0.1250, 0.2500)
Br (0.0000, 0.0000, 0.0000)
Br (0.7500, 0.2500, 0.5000)
Ca (0.2500, 0.7500, 0.5000)
Ca (0.5000, 0.5000, 0.0000)

---

<B>
Entry from Alexandria via LeMat-Bulk: a relaxed CaZn2Br crystal (PBE).

- crystal system = monoclinic
- total moment (μB/cell) = 0.00

Cell lengths 6.3421, 3.7908, 4.2879 Å; angles 89.47, 90.00, 90.00 degrees
Atoms (fractional coordinates):
Br (0.5000, 0.2500, 0.2500)
Ca (0.5000, 0.7500, 0.7500)
Zn (0.0000, 0.4973, 0.5034)
Zn (0.0000, 0.0027, 0.9966)

---

Most stable of them? <B>.

---

<A>
Entry from Alexandria via LeMat-Bulk: a relaxed CaZn2Br crystal (PBE).

- crystal system = trigonal
- total moment (μB/cell) = 0.00

Cell lengths 8.5839, 8.5839, 8.5839 Å; angles 25.79, 25.79, 25.79 degrees
Atoms (fractional coordinates):
Ca (0.7500, 0.7500, 0.7500)
Zn (0.5048, 0.5048, 0.5048)
Zn (0.9952, 0.9952, 0.9952)
Br (0.2500, 0.2500, 0.2500)

---

<B>
Entry from Alexandria via LeMat-Bulk: a relaxed CaZn2Br crystal (PBE).

- crystal system = cubic
- total moment (μB/cell) = 0.01

Cell lengths 5.1495, 5.1495, 5.1495 Å; angles 60.00, 60.00, 60.00 degrees
Atoms (fractional coordinates):
Zn (0.0000, 0.0000, 0.0000)
Zn (0.2500, 0.2500, 0.2500)
Br (0.5000, 0.5000, 0.5000)
Ca (0.7500, 0.7500, 0.7500)

---

Most stable of them? <B>.

---

<A>
Entry from Alexandria via LeMat-Bulk: a relaxed CaZn2Br crystal (PBE).

- crystal system = monoclinic
- total moment (μB/cell) = 0.00

Cell lengths 4.3988, 4.3988, 6.6579 Å; angles 89.55, 89.55, 60.02 degrees
Atoms (fractional coordinates):
Ca (0.2909, 0.2909, 0.2084)
Zn (0.9600, 0.9600, 0.9318)
Zn (0.6267, 0.6267, 0.9126)
Br (0.6224, 0.6224, 0.4473)

---

<B>
Entry from Alexandria via LeMat-Bulk: a relaxed CaZn2Br crystal (PBE).

- crystal system = orthorhombic
- total moment (μB/cell) = 0.00

Cell lengths 5.4805, 5.4805, 3.9024 Å; angles 90.00, 90.00, 117.83 degrees
Atoms (fractional coordinates):
Zn (0.5000, 0.5000, 0.0000)
Zn (0.0000, 0.0000, 0.0000)
Br (0.5000, 0.0000, 0.5000)
Ca (0.0000, 0.5000, 0.5000)

---

<C>
Entry from Alexandria via LeMat-Bulk: a relaxed CaZn2Br crystal (PBE).

- crystal system = tetragonal
- total moment (μB/cell) = 0.00

Cell lengths 3.5757, 3.5757, 8.6297 Å; angles 90.00, 90.00, 90.00 degrees
Atoms (fractional coordinates):
Zn (0.5000, 0.5000, 0.1261)
Zn (0.0000, 0.0000, 0.0281)
Ca (0.5000, 0.5000, 0.7654)
Br (0.0000, 0.0000, 0.5804)

---

<D>
Entry from Alexandria via LeMat-Bulk: a relaxed CaZn2Br crystal (PBE).

- crystal system = orthorhombic
- total moment (μB/cell) = 0.00

Cell lengths 4.4471, 4.4471, 5.5888 Å; angles 90.00, 90.00, 89.91 degrees
Atoms (fractional coordinates):
Ca (0.5000, 0.5000, 0.7500)
Zn (0.0000, 0.0000, 0.0121)
Zn (0.0000, 0.0000, 0.4879)
Br (0.5000, 0.5000, 0.2500)

---

Most stable of them? <A>.

---

<A>
Entry from Alexandria via LeMat-Bulk: a relaxed CaZnBr3 crystal (PBE).

- crystal system = cubic
- total moment (μB/cell) = 0.00

Cell lengths 5.2589, 5.2589, 5.2589 Å; angles 90.00, 90.00, 90.00 degrees
Atoms (fractional coordinates):
Br (0.0000, 0.5000, 0.0000)
Br (0.5000, 0.0000, 0.0000)
Br (0.0000, 0.0000, 0.5000)
Zn (0.0000, 0.0000, 0.0000)
Ca (0.5000, 0.5000, 0.5000)

---

<B>
Entry from Alexandria via LeMat-Bulk: a relaxed CaZnBr3 crystal (PBE).

- crystal system = cubic
- total moment (μB/cell) = 0.84

Cell lengths 5.6558, 5.6558, 5.6558 Å; angles 90.00, 90.00, 90.00 degrees
Each line ends with the local moment (μB).
Atoms (fractional coordinates):
Br (0.0000, 0.0000, 0.5000)  0.07
Br (0.0000, 0.5000, 0.0000)  0.07
Br (0.5000, 0.0000, 0.0000)  0.07
Ca (0.0000, 0.0000, 0.0000)  0.00
Zn (0.5000, 0.5000, 0.5000)  0.30

---

Most stable of them? <B>.

---

<A>
Entry from Alexandria via LeMat-Bulk: a relaxed CaZrBr3 crystal (PBE).

- crystal system = cubic
- total moment (μB/cell) = 0.62

Cell lengths 5.3946, 5.3946, 5.3946 Å; angles 90.00, 90.00, 90.00 degrees
Each line ends with the local moment (μB).
Atoms (fractional coordinates):
Br (0.0000, 0.5000, 0.0000)  0.01
Br (0.5000, 0.0000, 0.0000)  0.01
Br (0.0000, 0.0000, 0.5000)  0.01
Ca (0.5000, 0.5000, 0.5000)  0.00
Zr (0.0000, 0.0000, 0.0000)  0.41

---

<B>
Entry from Alexandria via LeMat-Bulk: a relaxed CaZrBr3 crystal (PBE).

- crystal system = cubic
- total moment (μB/cell) = 2.99

Cell lengths 5.5842, 5.5842, 5.5842 Å; angles 90.00, 90.00, 90.00 degrees
Each line ends with the local moment (μB).
Atoms (fractional coordinates):
Ca (0.0000, 0.0000, 0.0000)  0.00
Zr (0.5000, 0.5000, 0.5000)  1.80
Br (0.0000, 0.0000, 0.5000)  0.01
Br (0.0000, 0.5000, 0.0000)  0.01
Br (0.5000, 0.0000, 0.0000)  0.01

---

Most stable of them? <A>.

---

<A>
Entry from Alexandria via LeMat-Bulk: a relaxed CaZr3Br crystal (PBE).

- crystal system = cubic
- total moment (μB/cell) = 0.00

Cell lengths 5.1188, 5.1188, 5.1188 Å; angles 90.00, 90.00, 90.00 degrees
Atoms (fractional coordinates):
Zr (0.5000, 0.0000, 0.0000)
Zr (0.0000, 0.0000, 0.5000)
Zr (0.0000, 0.5000, 0.0000)
Ca (0.5000, 0.5000, 0.5000)
Br (0.0000, 0.0000, 0.0000)

---

<B>
Entry from Alexandria via LeMat-Bulk: a relaxed CaZr3Br crystal (PBE).

- crystal system = cubic
- total moment (μB/cell) = 1.56

Cell lengths 5.2602, 5.2602, 5.2602 Å; angles 90.00, 90.00, 90.00 degrees
Each line ends with the local moment (μB).
Atoms (fractional coordinates):
Zr (0.0000, 0.0000, 0.5000)  0.29
Zr (0.0000, 0.5000, 0.0000)  0.33
Zr (0.5000, 0.0000, 0.0000)  0.31
Ca (0.0000, 0.0000, 0.0000)  0.09
Br (0.5000, 0.5000, 0.5000)  -0.01

---

Most stable of them? <A>.

---

<A>
Entry from Alexandria via LeMat-Bulk: a relaxed Cd4Br3 crystal (PBE).

- crystal system = tetragonal
- total moment (μB/cell) = 0.00

Cell lengths 15.2269, 15.2269, 15.2269 Å; angles 166.59, 166.59, 19.00 degrees
Atoms (fractional coordinates):
Br (0.6921, 0.6921, 0.0000)
Br (0.0000, 0.0000, 0.0000)
Br (0.3079, 0.3079, 0.0000)
Cd (0.1382, 0.1382, 0.0000)
Cd (0.4284, 0.4284, 0.0000)
Cd (0.5716, 0.5716, 0.0000)
Cd (0.8618, 0.8618, 0.0000)

---

<B>
Entry from Alexandria via LeMat-Bulk: a relaxed Cd4Br3 crystal (PBE).

- crystal system = hexagonal
- total moment (μB/cell) = 0.00

Cell lengths 7.2296, 7.2296, 5.0273 Å; angles 90.00, 90.00, 120.00 degrees
Atoms (fractional coordinates):
Br (0.5000, 0.0000, 0.0000)
Br (0.0000, 0.5000, 0.0000)
Br (0.5000, 0.5000, 0.0000)
Cd (0.3333, 0.6667, 0.5000)
Cd (0.0000, 0.0000, 0.2488)
Cd (0.0000, 0.0000, 0.7512)
Cd (0.6667, 0.3333, 0.5000)

---

Most stable of them? <A>.

---

<A>
Entry from Alexandria via LeMat-Bulk: a relaxed Cd2Br3 crystal (PBE).

- crystal system = trigonal
- total moment (μB/cell) = 0.00

Cell lengths 7.2634, 7.2634, 8.0417 Å; angles 63.15, 63.15, 60.00 degrees
Atoms (fractional coordinates):
Br (0.7500, 0.4333, 0.7500)
Br (0.9333, 0.2500, 0.2500)
Br (0.5667, 0.9333, 0.2500)
Br (0.2500, 0.5667, 0.2500)
Br (0.4333, 0.0667, 0.7500)
Br (0.0667, 0.7500, 0.7500)
Cd (0.8450, 0.8450, 0.4649)
Cd (0.1550, 0.1550, 0.5351)
Cd (0.6550, 0.6550, 0.0351)
Cd (0.3450, 0.3450, 0.9649)

---

<B>
Entry from Alexandria via LeMat-Bulk: a relaxed Cd2Br3 crystal (PBE).

- crystal system = trigonal
- total moment (μB/cell) = 0.00

Cell lengths 5.3282, 5.3282, 5.8110 Å; angles 90.00, 90.00, 120.00 degrees
Atoms (fractional coordinates):
Br (0.0000, 0.0000, 0.0000)
Br (0.3333, 0.6667, 0.3155)
Br (0.6667, 0.3333, 0.6845)
Cd (0.6667, 0.3333, 0.1980)
Cd (0.3333, 0.6667, 0.8020)

---

Most stable of them? <A>.